# 1
Density functional theory data (GGA-PBE) for a geometry-optimized La3ReP structure.

## Properties
Its total magnetic moment is 0.000 Bohr magnetons per cell. The formation energy from the elements is 0.04 eV/atom.

Unit cell a=5.4325 b=5.4325 c=5.4325 alpha=90.00 beta=90.00 gamma=90.00
With the nearest neighbours (Å) after each atom.
Positions (direct):
La1 0.0000 0.0000 0.5000  2 Re 2.72
La2 0.0000 0.5000 0.0000  2 Re 2.72
La3 0.5000 0.0000 0.0000  2 Re 2.72
Re1 0.0000 0.0000 0.0000  6 La 2.72
P1 0.5000 0.5000 0.5000  12 La 3.84

---

# 2
Density functional theory data (GGA-PBE) for a geometry-optimized NpPd5Pt2 structure.

## Properties
Its total magnetic moment is 4.674 Bohr magnetons per cell. The formation energy from the elements is -0.12 eV/atom.

Unit cell a=7.0047 b=7.0047 c=7.4575 alpha=118.01 beta=118.01 gamma=90.00
With the nearest neighbours (Å) after each atom.
Positions (direct):
Pd1 0.8128 0.0136 0.3264  3 Pt 2.74-2.75, 4 Pd 2.78-2.96, 2 Np 2.84
Pd2 0.5000 0.5000 0.0000  4 Pt 2.70, 2 Np 2.79
Pd3 0.3128 0.8128 0.3264  3 Pt 2.74-2.75, 4 Pd 2.78-2.96, 2 Np 2.84
Pd4 0.0000 0.0000 0.0000  4 Pt 2.70, 2 Np 2.79
Pd5 0.6872 0.1872 0.6736  3 Pt 2.74-2.75, 4 Pd 2.78-2.96, 2 Np 2.84
Pd6 0.1872 0.9864 0.6736  3 Pt 2.74-2.75, 4 Pd 2.78-2.96, 2 Np 2.84
Pd7 0.5136 0.3128 0.3264  3 Pt 2.74-2.75, 4 Pd 2.78-2.96, 2 Np 2.84
Pd8 0.0136 0.5136 0.3264  3 Pt 2.74-2.75, 4 Pd 2.78-2.96, 2 Np 2.84
Pd9 0.9864 0.4864 0.6736  3 Pt 2.74-2.75, 4 Pd 2.78-2.96, 2 Np 2.84
Pd10 0.4864 0.6872 0.6736  3 Pt 2.74-2.75, 4 Pd 2.78-2.96, 2 Np 2.84
Np1 0.2500 0.2500 0.5000  10 Pd 2.79-2.84
Np2 0.7500 0.7500 0.5000  10 Pd 2.79-2.84
Pt1 0.8577 0.6423 0.0000  8 Pd 2.70-2.75, 1 Pt 2.82
Pt2 0.1423 0.3577 0.0000  8 Pd 2.70-2.75, 1 Pt 2.82
Pt3 0.3577 0.8577 0.0000  8 Pd 2.70-2.75, 1 Pt 2.82
Pt4 0.6423 0.1423 0.0000  8 Pd 2.70-2.75, 1 Pt 2.82